No. 1
A plane-wave DFT calculation with PBE was carried out for crystalline AgOsAu2 at its relaxed geometry.

The space group is Pmm2 (No. 25) and the conventional cell measures 2.7497, 4.9120 and 5.0158 Å, with angles of 90.00, 90.00 and 90.00 degrees. The inequivalent atoms are Ag at (0.0000, 0.0000, 0.0000), Os at (0.0000, 0.5000, 0.4084), Au at (0.5000, 0.0000, 0.4900) and Au at (0.5000, 0.5000, 0.9029).

The energy relative to the elements comes out at 0.4604 eV per atom. Its total magnetization is 0.0 μB/cell.


No. 2
A plane-wave DFT calculation with PBE was carried out for crystalline AgOsAu2 at its relaxed geometry.

The space group is Immm (No. 71) and the conventional cell measures 2.7372, 5.0477 and 10.0473 Å, with angles of 90.00, 90.00 and 90.00 degrees. The inequivalent atoms are Ag at (0.0000, 0.0000, 0.0000), Os at (0.0000, 0.0000, 0.5000) and Au at (0.0000, 0.5000, 0.2389).

The energy relative to the elements comes out at 0.5897 eV per atom. Its total magnetization is 0.0 μB/cell.


No. 3
A plane-wave DFT calculation with PBE was carried out for crystalline AgOs2Au at its relaxed geometry.

The space group is P4/mmm (No. 123) and the conventional cell measures 3.8151, 3.8151 and 4.3805 Å, with angles of 90.00, 90.00 and 90.00 degrees. The inequivalent atoms are Ag at (0.0000, 0.0000, 0.0000), Os at (0.0000, 0.5000, 0.5000) and Au at (0.5000, 0.5000, 0.0000).

The energy relative to the elements comes out at 0.8761 eV per atom. Its total magnetization is 0.0 μB/cell.